[1]
The following is a DFT calculation (GGA-PBE) of crystalline La3SbN at its relaxed geometry.

The value obtained for the density of states at the Fermi level is 30.22 states/eV per cell. The total energy comes out at -6.307 eV per atom.

The structure belongs to space group R-3 (No. 148, hexagonal axes); the cell edges are 6.9678, 6.9678 and 21.1583 Å and the angles 90.00°, 90.00° and 120.00°. The distinct sites, in fractional coordinates, are La at (0.0041, 0.3712, 0.0676), Sb at (0.0000, 0.0000, 0.1543) and N at (0.0000, 0.0000, 0.3387).


[2]
The following is a DFT calculation (GGA-PBE) of crystalline La3SbN at its relaxed geometry.

The value obtained for the density of states at the Fermi level is 21.16 states/eV per cell. The total energy comes out at -6.336 eV per atom.

The structure belongs to space group C2/m (No. 12); the cell edges are 18.104, 4.186 and 8.507 Å and the angles 90.00°, 93.66° and 90.00°. The distinct sites, in fractional coordinates, are La at (0.003, 0.000, 0.297), La at (0.167, 0.500, 0.976), La at (0.201, 0.000, 0.358), Sb at (0.109, 0.500, 0.570) and N at (0.207, 0.000, 0.096).


[3]
The following is a DFT calculation (GGA-PBE) of crystalline La4SbN2 at its relaxed geometry.

The value obtained for the density of states at the Fermi level is 17.15 states/eV per cell. The total energy comes out at -6.878 eV per atom.

The structure belongs to space group Cmcm (No. 63); the cell edges are 4.055, 12.815 and 13.144 Å and the angles 90.00°, 90.00° and 90.00°. The distinct sites, in fractional coordinates, are La at (0.000, 0.000, 0.000), La at (0.000, 0.265, 0.102), La at (0.000, 0.413, 0.750), Sb at (0.000, 0.103, 0.750) and N at (0.000, 0.360, 0.559).


[4]
The following is a DFT calculation (GGA-PBE) of crystalline La3SbN at its relaxed geometry.

The value obtained for the density of states at the Fermi level is 15.26 states/eV per cell. The total energy comes out at -5.068 eV per atom.

The structure belongs to space group I-4m2 (No. 119); the cell edges are 5.502, 5.502 and 24.060 Å and the angles 90.00°, 90.00° and 90.00°. The distinct sites, in fractional coordinates, are La at (0.000, 0.000, 0.193), La at (0.000, 0.241, 0.618), Sb at (0.000, 0.000, 0.500), Sb at (0.000, 0.500, 0.750) and N at (0.000, 0.500, 0.156).


[5]
The following is a DFT calculation (GGA-PBE) of crystalline La3SbN at its relaxed geometry.

The value obtained for the density of states at the Fermi level is 32.98 states/eV per cell. The total energy comes out at -6.429 eV per atom.

The structure belongs to space group C2/c (No. 15); the cell edges are 12.501, 14.022 and 6.432 Å and the angles 90.00°, 93.99° and 90.00°. The distinct sites, in fractional coordinates, are La at (0.094, 0.142, 0.063), La at (0.113, 0.308, 0.585), La at (0.116, 0.432, 0.098), Sb at (0.168, 0.083, 0.556), N at (0.000, 0.291, 0.250) and N at (0.000, 0.437, 0.750).


[6]
The following is a DFT calculation (GGA-PBE) of crystalline LaSb3N at its relaxed geometry.

The offset from the most stable computed form is 0 meV/atom. The value obtained for the density of states at the Fermi level is 2.74 states/eV per cell. The total energy comes out at -5.202 eV per atom.

The structure belongs to space group Pm-3m (No. 221); the cell edges are 4.873, 4.873 and 4.873 Å and the angles 90.00°, 90.00° and 90.00°. The distinct sites, in fractional coordinates, are La at (0.000, 0.000, 0.000), Sb at (0.000, 0.500, 0.500) and N at (0.500, 0.500, 0.500).


[7]
The following is a DFT calculation (GGA-PBE) of crystalline La3SbN at its relaxed geometry.

The value obtained for the density of states at the Fermi level is 8.12 states/eV per cell. The total energy comes out at -6.447 eV per atom.

The structure belongs to space group P-1 (No. 2); the cell edges are 5.718, 7.029 and 7.577 Å and the angles 80.80°, 89.78° and 89.90°. The distinct sites, in fractional coordinates, are La at (0.243, 0.460, 0.359), La at (0.252, 0.840, 0.697), La at (0.254, 0.271, 0.877), Sb at (0.245, 0.948, 0.247) and N at (0.206, 0.531, 0.648).


[8]
The following is a DFT calculation (GGA-PBE) of crystalline La3SbN at its relaxed geometry.

The value obtained for the density of states at the Fermi level is 7.93 states/eV per cell. The total energy comes out at -6.459 eV per atom.

The structure belongs to space group Cm (No. 8); the cell edges are 13.614, 5.249 and 4.267 Å and the angles 90.00°, 108.20° and 90.00°. The distinct sites, in fractional coordinates, are La at (0.000, 0.000, 0.000), La at (0.078, 0.500, 0.578), La at (0.308, 0.000, 0.809), Sb at (0.297, 0.500, 0.297) and N at (0.488, 0.000, 0.988).


Number 1: V 29.65 Å³/atom, mass density 6.2 Mg/m³, uncorrected formation energy -0.861 eV/atom. Number 2: V 32.17 Å³/atom, mass density 5.7 Mg/m³, uncorrected formation energy -0.890 eV/atom. Number 3: V 24.39 Å³/atom, mass density 6.9 Mg/m³, uncorrected formation energy -1.095 eV/atom. Number 4: V 36.42 Å³/atom, mass density 5.0 Mg/m³, uncorrected formation energy 0.378 eV/atom. Number 5: V 28.12 Å³/atom, mass density 6.5 Mg/m³, uncorrected formation energy -0.983 eV/atom. Number 6: V 23.14 Å³/atom, mass density 7.4 Mg/m³, uncorrected formation energy -0.078 eV/atom. Number 7: V 30.06 Å³/atom, mass density 6.1 Mg/m³, uncorrected formation energy -1.001 eV/atom. Number 8: V 28.96 Å³/atom, mass density 6.3 Mg/m³, uncorrected formation energy -1.013 eV/atom.